Record 1
Here is a geometry-optimized Dy3CoRh2 structure from Alexandria via LeMat-Bulk. Energies are from GGA-PBE.

```
data_Dy3CoRh2
_chemical_formula_sum 'Dy6 Co2 Rh4'
_cell_length_a 4.809
_cell_length_b 4.809
_cell_length_c 11.759
_cell_angle_alpha 90.00
_cell_angle_beta 90.00
_cell_angle_gamma 120.00
_symmetry_space_group_name_H-M 'P 1'
_symmetry_Int_Tables_number 1
loop_
_symmetry_equiv_pos_as_xyz
'x,y,z'
loop_
_atom_site_label
_atom_site_type_symbol
_atom_site_fract_x
_atom_site_fract_y
_atom_site_fract_z
_atom_site_occupancy
Dy1 Dy 0.000 0.000 0.247 1
Dy2 Dy 0.000 0.000 0.753 1
Dy3 Dy 0.333 0.667 0.414 1
Dy4 Dy 0.333 0.667 0.918 1
Dy5 Dy 0.667 0.333 0.082 1
Dy6 Dy 0.667 0.333 0.586 1
Co1 Co 0.333 0.667 0.166 1
Co2 Co 0.667 0.333 0.834 1
Rh1 Rh 0.000 0.000 0.000 1
Rh2 Rh 0.000 0.000 0.500 1
Rh3 Rh 0.333 0.667 0.668 1
Rh4 Rh 0.667 0.333 0.332 1
```



Record 2
# GGA-PBE K2LaMo, relaxed
data_K2LaMo
_chemical_formula_sum 'K2 La1 Mo1'
_cell_length_a 3.408
_cell_length_b 4.460
_cell_length_c 10.783
_cell_angle_alpha 90.00
_cell_angle_beta 96.13
_cell_angle_gamma 90.00
_symmetry_space_group_name_H-M 'P 1'
_symmetry_Int_Tables_number 1
loop_
_symmetry_equiv_pos_as_xyz
'x,y,z'
loop_
_atom_site_label
_atom_site_type_symbol
_atom_site_fract_x
_atom_site_fract_y
_atom_site_fract_z
_atom_site_occupancy
K1 K 0.000 0.000 0.000 1
K2 K 0.299 0.500 0.621 1
La1 La 0.853 0.500 0.296 1
Mo1 Mo 0.462 0.000 0.330 1
# - polymorph energy (0 for the lowest one) (meV per atom) = 39



Number 1: electronic total energy -6.558 eV/atom. Number 2: electronic total energy -3.734 eV/atom.